[1]
The following is a DFT calculation (PBE) of Sm3ZrCo8 after structural relaxation.

Cell: 8.786 8.786 8.786 Å, 33.57 33.57 33.57°
Positions (direct):
Sm (0.000, 0.000, 0.000)
Sm (0.125, 0.125, 0.125)
Sm (0.626, 0.626, 0.626)
Zr (0.501, 0.501, 0.501)
Co (0.062, 0.062, 0.556)
Co (0.062, 0.556, 0.062)
Co (0.072, 0.563, 0.563)
Co (0.313, 0.313, 0.313)
Co (0.556, 0.062, 0.062)
Co (0.563, 0.072, 0.563)
Co (0.563, 0.563, 0.072)
Co (0.814, 0.814, 0.814)

Summary:
- Space group: R3m
- Energy relative to the elements: -0.12 eV per atom
- M_tot: 6.7 μB/f.u.
- V: 15.39 Å³/atom

=====

[2]
The following is a DFT calculation (PBE) of AcLaI4 after structural relaxation.

Cell: 7.590 4.373 8.606 Å, 90.00 106.14 90.00°
Positions (direct):
Ac (0.000, 0.000, 0.000)
La (0.500, 0.500, 0.000)
I (0.257, 0.500, 0.260)
I (0.260, 0.000, 0.746)
I (0.740, 0.000, 0.254)
I (0.743, 0.500, 0.740)

Summary:
- Space group: P2/m
- M_tot: 0.0 μB/f.u.
- E_form (uncorrected): -1351 meV per atom
- V: 45.72 Å³/atom

=====

[3]
The following is a DFT calculation (PBE) of Zr3FeN after structural relaxation.

Cell: 4.414 4.414 4.414 Å, 90.00 90.00 90.00°
Positions (direct):
Zr (0.000, 0.000, 0.500)
Zr (0.000, 0.500, 0.000)
Zr (0.500, 0.000, 0.000)
Fe (0.500, 0.500, 0.500)
N (0.000, 0.000, 0.000)

Summary:
- Space group: Pm-3m
- M_tot: 0.0 μB/f.u.
- E_form (uncorrected): -493 meV per atom
- V: 17.20 Å³/atom

=====

[4]
The following is a DFT calculation (PBE) of TiHO2 after structural relaxation.

Cell: 5.952 5.952 5.952 Å, 120.02 120.02 89.97°
Positions (direct):
Ti (0.000, 0.000, 0.000)
Ti (0.750, 0.250, 0.500)
H (0.250, 0.750, 0.500)
H (0.500, 0.500, 0.000)
O (0.375, 0.128, 0.253)
O (0.872, 0.125, 0.247)
O (0.875, 0.122, 0.747)
O (0.878, 0.625, 0.753)

Summary:
- Space group: I-42d
- M_tot: 1.0 μB/f.u.
- Raw total energy: -6.99 eV per atom
- V: 18.63 Å³/atom

=====

[5]
The following is a DFT calculation (PBE) of KNbCu2S4 after structural relaxation.

Cell: 7.537 9.729 9.729 Å, 146.84 90.00 90.00°
Positions (direct):
K (0.250, 0.180, 0.820)
K (0.750, 0.820, 0.180)
Nb (0.250, 0.643, 0.864)
Nb (0.750, 0.864, 0.643)
Cu (0.000, 0.735, 0.735)
Cu (0.250, 0.149, 0.358)
Cu (0.500, 0.735, 0.735)
Cu (0.750, 0.358, 0.149)
S (0.002, 0.402, 0.612)
S (0.250, 0.803, 0.217)
S (0.250, 0.983, 0.995)
S (0.498, 0.402, 0.612)
S (0.502, 0.612, 0.402)
S (0.750, 0.217, 0.803)
S (0.750, 0.995, 0.983)
S (0.998, 0.612, 0.402)

Summary:
- Space group: Ama2
- M_tot: 0.0 μB/f.u.
- E_form (uncorrected): -847 meV per atom
- V: 24.38 Å³/atom

=====

[6]
The following is a DFT calculation (PBE) of ScHgPb2 after structural relaxation.

Cell: 3.489 3.489 9.183 Å, 90.00 90.00 90.00°
Positions (direct):
Sc (0.000, 0.000, 0.000)
Hg (0.000, 0.000, 0.500)
Pb (0.500, 0.500, 0.221)
Pb (0.500, 0.500, 0.779)

Summary:
- Space group: P4/mmm
- Energy relative to the elements: -0.08 eV per atom
- M_tot: 0.0 μB/f.u.
- V: 27.94 Å³/atom

=====

[7]
The following is a DFT calculation (PBE) of Ba6Pb23 after structural relaxation.

Cell: 11.405 11.405 11.405 Å, 60.00 60.00 60.00°
Positions (direct):
Ba (0.217, 0.217, 0.783)
Ba (0.217, 0.783, 0.217)
Ba (0.217, 0.783, 0.783)
Ba (0.783, 0.217, 0.217)
Ba (0.783, 0.217, 0.783)
Ba (0.783, 0.783, 0.217)
Pb (0.000, 0.000, 0.500)
Pb (0.000, 0.500, 0.000)
Pb (0.000, 0.500, 0.500)
Pb (0.136, 0.621, 0.621)
Pb (0.171, 0.171, 0.171)
Pb (0.171, 0.171, 0.488)
Pb (0.171, 0.488, 0.171)
Pb (0.379, 0.379, 0.379)
Pb (0.379, 0.379, 0.864)
Pb (0.379, 0.864, 0.379)
Pb (0.488, 0.171, 0.171)
Pb (0.500, 0.000, 0.000)
Pb (0.500, 0.000, 0.500)
Pb (0.500, 0.500, 0.000)
Pb (0.500, 0.500, 0.500)
Pb (0.512, 0.829, 0.829)
Pb (0.621, 0.136, 0.621)
Pb (0.621, 0.621, 0.136)
Pb (0.621, 0.621, 0.621)
Pb (0.829, 0.512, 0.829)
Pb (0.829, 0.829, 0.512)
Pb (0.829, 0.829, 0.829)
Pb (0.864, 0.379, 0.379)

Summary:
- Space group: Fm-3m
- Energy relative to the elements: -0.23 eV per atom
- M_tot: 0.0 μB/f.u.
- V: 36.17 Å³/atom

=====

[8]
The following is a DFT calculation (PBE) of MnGa5Rh6 after structural relaxation.

Cell: 6.788 6.788 6.072 Å, 90.00 90.00 143.18°
Positions (direct):
Mn (0.000, 0.000, 0.000)
Ga (0.000, 0.000, 0.500)
Ga (0.334, 0.666, 0.500)
Ga (0.339, 0.661, 0.000)
Ga (0.661, 0.339, 0.000)
Ga (0.666, 0.334, 0.500)
Rh (0.169, 0.831, 0.251)
Rh (0.169, 0.831, 0.749)
Rh (0.500, 0.500, 0.257)
Rh (0.500, 0.500, 0.743)
Rh (0.831, 0.169, 0.251)
Rh (0.831, 0.169, 0.749)

Summary:
- Space group: Cmmm
- Energy relative to the elements: -0.66 eV per atom
- M_tot: 4.6 μB/f.u.
- V: 13.97 Å³/atom

=====

Copy entry 5 word for word.
The following is a DFT calculation (PBE) of KNbCu2S4 after structural relaxation.

Cell: 7.537 9.729 9.729 Å, 146.84 90.00 90.00°
Positions (direct):
K (0.250, 0.180, 0.820)
K (0.750, 0.820, 0.180)
Nb (0.250, 0.643, 0.864)
Nb (0.750, 0.864, 0.643)
Cu (0.000, 0.735, 0.735)
Cu (0.250, 0.149, 0.358)
Cu (0.500, 0.735, 0.735)
Cu (0.750, 0.358, 0.149)
S (0.002, 0.402, 0.612)
S (0.250, 0.803, 0.217)
S (0.250, 0.983, 0.995)
S (0.498, 0.402, 0.612)
S (0.502, 0.612, 0.402)
S (0.750, 0.217, 0.803)
S (0.750, 0.995, 0.983)
S (0.998, 0.612, 0.402)

Summary:
- Space group: Ama2
- M_tot: 0.0 μB/f.u.
- E_form (uncorrected): -847 meV per atom
- V: 24.38 Å³/atom